Entry 1:
The following is a PBE calculation of crystalline NaNd2Co at its relaxed geometry, from the Alexandria database.

Cell and atoms, written as POSCAR:
```
NaNd2Co
1.0
-0.1182 -0.8250 -3.8989
-0.1780 -3.7878 -1.2316
-9.4206 -1.1658 -1.5062
Na Nd Co
1 2 1
direct
0.5005 0.5005 0.4984 Na
0.0526 0.0526 0.8421 Nd
0.2804 0.2804 0.1587 Nd
0.6664 0.6664 0.0008 Co
```

Computed properties:
- Size of the total moment: 0.00 μB per formula unit
- Formation energy from the elements: 0.0157 eV per atom
- Volume: 32.115 Å³ per atom
- Energy relative to the lowest polymorph listed for this composition: 0 meV/atom
- Mass density: 4.8 g cm⁻³
- Electronic total energy: -4.47 eV per atom
- N(E_F): 0.761 states/eV per atom

Entry 2:
The following is a PBE calculation of crystalline NaNdCo at its relaxed geometry, from the Alexandria database.

Cell and atoms, written as POSCAR:
```
NaNdCo
1.0
3.9496 0.0003 -0.0020
1.9751 3.4209 -0.0004
0.0020 -0.0022 13.0981
Na Nd Co
2 2 2
direct
0.6288 0.9811 0.6755 Na
0.9618 0.3131 0.9062 Na
0.2957 0.6445 0.4330 Nd
0.2953 0.6445 0.1485 Nd
0.6288 0.9776 0.2906 Co
0.9622 0.3109 0.2909 Co
```

Computed properties:
- Size of the total moment: 0.21 μB per formula unit
- Formation energy from the elements: -0.0615 eV per atom
- Volume: 29.494 Å³ per atom
- Energy relative to the lowest polymorph listed for this composition: 0 meV/atom
- Mass density: 4.2 g cm⁻³
- Electronic total energy: -4.46 eV per atom
- N(E_F): 1.099 states/eV per atom

Entry 3:
The following is a PBE calculation of crystalline NaNdCo4 at its relaxed geometry, from the Alexandria database.

Cell and atoms, written as POSCAR:
```
NaNdCo4
1.0
-3.5965 -2.6985 -2.3936
1.3240 -3.5837 -3.3691
-0.6624 -4.9234 1.1260
Co Nd Na
4 1 1
direct
0.6252 0.6252 0.1244 Co
0.6252 0.1244 0.6252 Co
0.6252 0.6252 0.6252 Co
0.1244 0.6252 0.6252 Co
0.2500 0.2500 0.2500 Nd
0.0000 0.0000 0.0000 Na
```

Computed properties:
- Size of the total moment: 5.72 μB per formula unit
- Formation energy from the elements: 0.1775 eV per atom
- Volume: 15.576 Å³ per atom
- Mass density: 7.2 g cm⁻³
- Electronic total energy: -5.57 eV per atom
- N(E_F): 1.231 states/eV per atom